VASP calculation (meta-GGA SCAN) on a PBEsol-optimized structure of CuSnSe2N.

Summary:
Electronic total energy = -95.25 eV/f.u.
E_form (uncorrected) = 1.064 eV per atom
Spin magnetization = 2.0 μB per cell
ρ = 5.4 g cm⁻³
Space group = No. 123
Energy above the lowest structure with this stoichiometry = 489 meV/atom

```
5
Lattice="3.937 0.000 0.000 0.000 5.267 0.000 0.000 0.000 5.267" Properties=species:S:1:pos:R:3 pbc="T T T"
Cu 1.968 2.633 2.633
Sn 0.000 0.000 0.000
Se 0.000 0.000 2.633
Se 0.000 2.633 0.000
N 1.968 0.000 0.000
```